Material: Zr3Al7Pd2
Method: DFT, PBE
State: optimized geometry

Calculated values
The value obtained for the volume is 206 Å³ per cell. The density of states at the Fermi level is 4.562 states/eV/cell. The magnetization is 0.00 μB per cell. The formation energy comes out at -0.6627 eV/atom. Its energy is -70.2 eV per formula unit. Its crystal system is trigonal.

Unit cell a=8.9103 b=8.9103 c=8.9103 alpha=34.81 beta=34.81 gamma=34.81
Sites, in units of the cell vectors:
Zr  0.0000  0.0000  0.0000
Zr  0.1439  0.1439  0.1439
Zr  0.8561  0.8561  0.8561
Al  0.0759  0.5860  0.5860
Al  0.4140  0.4140  0.9241
Al  0.4140  0.9241  0.4140
Al  0.5000  0.5000  0.5000
Al  0.5860  0.0759  0.5860
Al  0.5860  0.5860  0.0759
Al  0.9241  0.4140  0.4140
Pd  0.3347  0.3347  0.3347
Pd  0.6653  0.6653  0.6653

Material: ZrAl2Pd2
Method: DFT, PBE
State: optimized geometry

Calculated values
The value obtained for the volume is 164 Å³ per cell. The density of states at the Fermi level is 4.536 states/eV/cell. The magnetization is 0.00 μB per cell. The formation energy comes out at -0.7107 eV/atom. Its energy is -30.0 eV per formula unit. The calculation puts the polymorph energy (0 for the lowest one) at 0 kJ/mol of formula units. Its crystal system is tetragonal.

Unit cell a=7.6043 b=7.6043 c=2.8443 alpha=90.00 beta=90.00 gamma=90.00
Sites, in units of the cell vectors:
Zr  0.0000  0.0000  0.0000
Zr  0.5000  0.5000  0.0000
Al  0.1608  0.3392  0.5000
Al  0.3392  0.8392  0.5000
Al  0.6608  0.1608  0.5000
Al  0.8392  0.6608  0.5000
Pd  0.1336  0.6336  0.0000
Pd  0.3664  0.1336  0.0000
Pd  0.6336  0.8664  0.0000
Pd  0.8664  0.3664  0.0000

Material: ZrAlPd
Method: DFT, PBE
State: optimized geometry

Calculated values
The value obtained for the volume is 210 Å³ per cell. The density of states at the Fermi level is 10.560 states/eV/cell. The magnetization is 1.16 μB per cell. The formation energy comes out at -0.6894 eV/atom. Its energy is -19.6 eV per formula unit. Its crystal system is orthorhombic.

Unit cell a=8.4631 b=5.3265 c=5.3265 alpha=60.76 beta=90.00 gamma=90.00
Sites, in units of the cell vectors:
Zr  0.1815  0.0000  0.0000
Zr  0.3021  0.3316  0.3316
Zr  0.6979  0.3316  0.3316
Zr  0.8185  0.0000  0.0000
Al  0.2462  0.6680  0.6680
Al  0.5000  0.3143  0.8331
Al  0.5000  0.8331  0.3143
Al  0.7538  0.6680  0.6680
Pd  0.0000  0.0019  0.4956
Pd  0.0000  0.4956  0.0019
Pd  0.0000  0.4967  0.4967
Pd  0.5000  0.8288  0.8288

Material: Zr2AlPd
Method: DFT, PBE
State: optimized geometry

Calculated values
The value obtained for the volume is 328 Å³ per cell. The density of states at the Fermi level is 16.893 states/eV/cell. The magnetization is 0.00 μB per cell. The formation energy comes out at 0.0684 eV/atom. Its energy is -25.8 eV per formula unit. Its crystal system is tetragonal.

Unit cell a=4.0275 b=4.0275 c=20.2298 alpha=90.00 beta=90.00 gamma=90.00
Sites, in units of the cell vectors:
Zr  0.2446  0.2500  0.1250
Zr  0.2500  0.7446  0.3750
Zr  0.2500  0.7554  0.8750
Zr  0.2554  0.2500  0.6250
Zr  0.7446  0.7500  0.6250
Zr  0.7500  0.2446  0.8750
Zr  0.7500  0.2554  0.3750
Zr  0.7554  0.7500  0.1250
Al  0.0000  0.0000  0.0000
Al  0.0000  0.5000  0.2500
Al  0.5000  0.0000  0.7500
Al  0.5000  0.5000  0.5000
Pd  0.0000  0.0000  0.5000
Pd  0.0000  0.5000  0.7500
Pd  0.5000  0.0000  0.2500
Pd  0.5000  0.5000  0.0000

Material: Zr2AlPd9
Method: DFT, PBE
State: optimized geometry

Calculated values
The value obtained for the volume is 191 Å³ per cell. The density of states at the Fermi level is 4.779 states/eV/cell. The magnetization is 0.00 μB per cell. The formation energy comes out at -0.7617 eV/atom. Its energy is -76.7 eV per formula unit. Its crystal system is tetragonal.

Unit cell a=4.0045 b=4.0045 c=11.9234 alpha=90.00 beta=90.00 gamma=90.00
Sites, in units of the cell vectors:
Zr  0.0000  0.0000  0.1726
Zr  0.0000  0.0000  0.8274
Al  0.0000  0.0000  0.5000
Pd  0.0000  0.5000  0.0000
Pd  0.0000  0.5000  0.3394
Pd  0.0000  0.5000  0.6606
Pd  0.5000  0.0000  0.0000
Pd  0.5000  0.0000  0.3394
Pd  0.5000  0.0000  0.6606
Pd  0.5000  0.5000  0.1693
Pd  0.5000  0.5000  0.5000
Pd  0.5000  0.5000  0.8307

Material: ZrAlPd
Method: DFT, PBE
State: optimized geometry

Calculated values
The value obtained for the volume is 53 Å³ per cell. The density of states at the Fermi level is 2.346 states/eV/cell. The magnetization is 0.00 μB per cell. The formation energy comes out at -0.6780 eV/atom. Its energy is -19.5 eV per formula unit. Its crystal system is hexagonal.

Unit cell a=4.4942 b=4.4942 c=3.0340 alpha=90.00 beta=90.00 gamma=120.00
Sites, in units of the cell vectors:
Zr  0.0000  0.0000  0.0000
Al  0.6667  0.3333  0.5000
Pd  0.3333  0.6667  0.5000

Material: Zr2AlPd3
Method: DFT, PBE
State: optimized geometry

Calculated values
The value obtained for the volume is 229 Å³ per cell. The density of states at the Fermi level is 6.505 states/eV/cell. The magnetization is 0.00 μB per cell. The formation energy comes out at -0.4553 eV/atom. Its energy is -39.1 eV per formula unit. The calculation puts the polymorph energy (0 for the lowest one) at 124 kJ/mol of formula units. Its crystal system is orthorhombic.

Unit cell a=4.3489 b=5.1951 c=10.1257 alpha=90.00 beta=90.00 gamma=90.00
Sites, in units of the cell vectors:
Zr  0.0000  0.0000  0.1915
Zr  0.0000  0.0000  0.8085
Zr  0.5000  0.5000  0.3085
Zr  0.5000  0.5000  0.6915
Al  0.0000  0.0000  0.5000
Al  0.5000  0.5000  0.0000
Pd  0.0000  0.5000  0.1335
Pd  0.0000  0.5000  0.5000
Pd  0.0000  0.5000  0.8665
Pd  0.5000  0.0000  0.0000
Pd  0.5000  0.0000  0.3665
Pd  0.5000  0.0000  0.6335

Material: ZrAlPd2
Method: DFT, PBE
State: optimized geometry

Calculated values
The value obtained for the volume is 66 Å³ per cell. The density of states at the Fermi level is 2.875 states/eV/cell. The magnetization is 0.00 μB per cell. The formation energy comes out at -0.7680 eV/atom. Its energy is -25.7 eV per formula unit. Its crystal system is tetragonal.

Unit cell a=3.0022 b=3.0022 c=7.2740 alpha=90.00 beta=90.00 gamma=90.00
Sites, in units of the cell vectors:
Zr  0.0000  0.0000  0.0000
Al  0.0000  0.0000  0.5000
Pd  0.5000  0.5000  0.2876
Pd  0.5000  0.5000  0.7124

Material: ZrAl2Pd3
Method: DFT, PBE
State: optimized geometry

Calculated values
The value obtained for the volume is 95 Å³ per cell. The density of states at the Fermi level is 3.442 states/eV/cell. The magnetization is 0.00 μB per cell. The formation energy comes out at -0.8129 eV/atom. Its energy is -36.5 eV per formula unit. Its crystal system is tetragonal.

Unit cell a=3.0550 b=3.0550 c=10.1739 alpha=90.00 beta=90.00 gamma=90.00
Sites, in units of the cell vectors:
Zr  0.0000  0.0000  0.0000
Al  0.0000  0.0000  0.3468
Al  0.0000  0.0000  0.6532
Pd  0.5000  0.5000  0.2025
Pd  0.5000  0.5000  0.5000
Pd  0.5000  0.5000  0.7975

Material: Zr2Al3Pd4
Method: DFT, PBE
State: optimized geometry

Calculated values
The value obtained for the volume is 304 Å³ per cell. The density of states at the Fermi level is 13.001 states/eV/cell. The magnetization is 0.00 μB per cell. The formation energy comes out at -0.7758 eV/atom. Its energy is -56.1 eV per formula unit. The calculation puts the polymorph energy (0 for the lowest one) at 0 kJ/mol of formula units. Its crystal system is orthorhombic.

Unit cell a=7.8743 b=7.8743 c=7.5395 alpha=90.00 beta=90.00 gamma=139.49
Sites, in units of the cell vectors:
Zr  0.1024  0.8976  0.9061
Zr  0.3976  0.6024  0.4061
Zr  0.6024  0.3976  0.5939
Zr  0.8976  0.1024  0.0939
Al  0.0000  0.0000  0.5000
Al  0.0157  0.4843  0.7500
Al  0.4843  0.0157  0.2500
Al  0.5000  0.5000  0.0000
Al  0.5157  0.9843  0.7500
Al  0.9843  0.5157  0.2500
Pd  0.1810  0.8190  0.5189
Pd  0.1885  0.3115  0.7500
Pd  0.3115  0.1885  0.2500
Pd  0.3190  0.6810  0.0189
Pd  0.6810  0.3190  0.9811
Pd  0.6885  0.8115  0.7500
Pd  0.8115  0.6885  0.2500
Pd  0.8190  0.1810  0.4811

Q: Which of these has the highest magnetization?
A: number 3